Here is a relaxed Ba2WO5 crystal from Alexandria. Energies are from PBE+U.

Symmetry   No. 62
Offset from the most stable computed form   0 meV/atom
Total magnetization   0.0 Bohr magnetons per cell
V   515.2 Å³ per cell

Cell lengths 7.5676, 5.8052, 11.7282 Å; angles 90.00, 90.00, 90.00 degrees
Last column: nearest neighbours and their distance in Å.
Element x y z (fractional)
Ba (0.0203, 0.2500, 0.2167)  8 O 2.66-2.93
Ba (0.1716, 0.7500, 0.4162)  10 O 2.75-3.04
Ba (0.3283, 0.2500, 0.9162)  10 O 2.75-3.04
Ba (0.4797, 0.7500, 0.7167)  8 O 2.66-2.93
Ba (0.5203, 0.2500, 0.2833)  8 O 2.66-2.93
Ba (0.6716, 0.7500, 0.0838)  10 O 2.75-3.04
Ba (0.8284, 0.2500, 0.5838)  10 O 2.75-3.04
Ba (0.9797, 0.7500, 0.7833)  8 O 2.66-2.93
W (0.1749, 0.7500, 0.0637)  6 O 1.88-2.10
W (0.3251, 0.2500, 0.5637)  6 O 1.88-2.10
W (0.6749, 0.7500, 0.4363)  6 O 1.88-2.10
W (0.8251, 0.2500, 0.9363)  6 O 1.88-2.10
O (0.0000, 0.0000, 0.0000)  2 W 2.10
O (0.0000, 0.5000, 0.0000)  2 W 2.10
O (0.0293, 0.7500, 0.1962)  1 W 1.90
O (0.1770, 0.0093, 0.6124)  1 W 1.88
O (0.1770, 0.4907, 0.6124)  1 W 1.88
O (0.2257, 0.2500, 0.4072)  1 W 1.98
O (0.2743, 0.7500, 0.9072)  1 W 1.98
O (0.3230, 0.5093, 0.1124)  1 W 1.88
O (0.3230, 0.9907, 0.1124)  1 W 1.88
O (0.4707, 0.2500, 0.6962)  1 W 1.90
O (0.5000, 0.0000, 0.5000)  2 W 2.10
O (0.5000, 0.5000, 0.5000)  2 W 2.10
O (0.5293, 0.7500, 0.3038)  1 W 1.90
O (0.6770, 0.0093, 0.8876)  1 W 1.88
O (0.6770, 0.4907, 0.8876)  1 W 1.88
O (0.7257, 0.2500, 0.0928)  1 W 1.98
O (0.7743, 0.7500, 0.5928)  1 W 1.98
O (0.8230, 0.5093, 0.3876)  1 W 1.88
O (0.8230, 0.9907, 0.3876)  1 W 1.88
O (0.9707, 0.2500, 0.8038)  1 W 1.90